DFT (GGA-PBE) results for a relaxed structure of AcTh2PaN4.

Unit cell a=6.3505 b=3.6570 c=6.4145 alpha=90.00 beta=109.40 gamma=90.00
Space group P2/m (No. 10)
Inequivalent atoms, fractional coordinates:
Ac: 0.0000 0.0000 0.0000 (multiplicity 1)
Th: 0.5000 0.0000 0.5000 (multiplicity 1)
Th: 0.5000 0.5000 0.0000 (multiplicity 1)
Pa: 0.0000 0.5000 0.5000 (multiplicity 1)
N: 0.2323 0.0000 0.7136 (multiplicity 2)
N: 0.2502 0.5000 0.2932 (multiplicity 2)

Values from the calculation:
Raw formation energy in eV/f.u.: -11.49

---

DFT (GGA-PBE) results for a relaxed structure of PaZn2Ge.

Unit cell a=4.1593 b=4.1593 c=4.5491 alpha=90.00 beta=90.00 gamma=90.00
Space group P4/mmm (No. 123)
Inequivalent atoms, fractional coordinates:
Pa: 0.0000 0.0000 0.0000 (multiplicity 1)
Zn: 0.0000 0.5000 0.5000 (multiplicity 2)
Ge: 0.5000 0.5000 0.0000 (multiplicity 1)

Values from the calculation:
ΔE to the lowest computed polymorph in meV/atom: 0

---

DFT (GGA-PBE) results for a relaxed structure of Tb2GePd8.

Unit cell a=4.6704 b=5.9221 c=14.0724 alpha=90.00 beta=90.00 gamma=90.00
Space group Immm (No. 71)
Inequivalent atoms, fractional coordinates:
Tb: 0.0000 0.0000 0.1873 (multiplicity 4)
Ge: 0.0000 0.0000 0.5000 (multiplicity 2)
Pd: 0.0000 0.2574 0.3673 (multiplicity 8)
Pd: 0.0000 0.2576 0.0000 (multiplicity 4)
Pd: 0.0000 0.5000 0.1834 (multiplicity 4)

Values from the calculation:
Uncorrected energy in eV/cell: -125.61

---

DFT (GGA-PBE) results for a relaxed structure of AlFeAs.

Unit cell a=2.9747 b=2.9747 c=5.7158 alpha=90.00 beta=90.00 gamma=120.00
Space group P3m1 (No. 156)
Inequivalent atoms, fractional coordinates:
Al: 0.0000 0.0000 0.0000 (multiplicity 1)
Fe: 0.3333 0.6667 0.6844 (multiplicity 1)
As: 0.6667 0.3333 0.3972 (multiplicity 1)

Values from the calculation:
ΔE to the lowest computed polymorph in meV/atom: 22